Entry 1:
Below is crystalline Si2NiMo at its relaxed geometry, with properties calculated at the GGA-PBE level.

Cell: 3.7618 2.8266 5.0008 Å, 90.01 90.00 90.00°
Fractional positions:
1 Mo 0.5000 0.2500 0.2500
2 Ni 0.5000 0.7500 0.7500
3 Si 0.0000 0.7500 0.0045
4 Si 0.0000 0.7500 0.4955

Calculated values
crystal system	orthorhombic
space group	Pmmm (47)

Entry 2:
Below is crystalline SiNiMo2 at its relaxed geometry, with properties calculated at the GGA-PBE level.

Cell: 8.7664 8.7664 8.7664 Å, 18.01 18.01 18.01°
Fractional positions:
1 Mo 0.0060 0.0060 0.0060
2 Mo 0.2442 0.2442 0.2442
3 Ni 0.4928 0.4928 0.4928
4 Si 0.7570 0.7570 0.7570

Calculated values
crystal system	trigonal
space group	R3m (160)

Entry 3:
Below is crystalline SiNiMo2 at its relaxed geometry, with properties calculated at the GGA-PBE level.

Cell: 2.7023 2.7023 7.8031 Å, 90.00 90.00 103.74°
Fractional positions:
1 Mo 0.0000 0.0000 0.9805
2 Mo 0.5000 0.5000 0.2657
3 Ni 0.0000 0.0000 0.5267
4 Si 0.5000 0.5000 0.7270

Calculated values
crystal system	orthorhombic
space group	Cmm2 (35)

Entry 4:
Below is crystalline SiNi2Mo at its relaxed geometry, with properties calculated at the GGA-PBE level.

Cell: 3.8541 3.5858 3.5858 Å, 90.00 90.00 90.00°
Fractional positions:
1 Mo 0.5000 0.0000 0.5000
2 Ni 0.0000 0.0000 0.0000
3 Ni 0.0000 0.5000 0.5000
4 Si 0.5000 0.5000 0.0000

Calculated values
crystal system	tetragonal
space group	P4/mmm (123)

Entry 5:
Below is crystalline Si2NiMo at its relaxed geometry, with properties calculated at the GGA-PBE level.

Cell: 4.3709 4.3709 5.0483 Å, 73.62 73.62 35.24°
Fractional positions:
1 Mo 0.7500 0.7500 0.7500
2 Ni 0.2500 0.2500 0.2500
3 Si 0.9834 0.9834 0.0104
4 Si 0.5166 0.5166 0.4896

Calculated values
crystal system	monoclinic
space group	C2/m (12)

Entry 6:
Below is crystalline Si2NiMo at its relaxed geometry, with properties calculated at the GGA-PBE level.

Cell: 8.0474 8.0474 8.0474 Å, 19.91 19.91 19.91°
Fractional positions:
1 Mo 0.2500 0.2500 0.2500
2 Ni 0.7500 0.7500 0.7500
3 Si 0.0064 0.0064 0.0064
4 Si 0.4936 0.4936 0.4936

Calculated values
crystal system	trigonal
space group	R-3m (166)

Entry 7:
Below is crystalline SiNiMo2 at its relaxed geometry, with properties calculated at the GGA-PBE level.

Cell: 4.8020 4.8020 4.8020 Å, 137.90 131.05 66.50°
Fractional positions:
1 Mo 0.0030 0.0030 0.0000
2 Mo 0.4970 0.4970 0.0000
3 Ni 0.7500 0.2500 0.5000
4 Si 0.2500 0.7500 0.5000

Calculated values
crystal system	orthorhombic
space group	Immm (71)

Entry 8:
Below is crystalline Si6Ni21Mo2 at its relaxed geometry, with properties calculated at the GGA-PBE level.

Cell: 7.8698 7.8698 7.8698 Å, 60.00 60.00 60.00°
Fractional positions:
1 Si 0.2651 0.7349 0.2651
2 Si 0.7349 0.2651 0.2651
3 Si 0.7349 0.7349 0.2651
4 Si 0.7349 0.2651 0.7349
5 Si 0.2651 0.7349 0.7349
6 Si 0.2651 0.2651 0.7349
7 Ni 0.0000 0.0000 0.0000
8 Ni 0.6222 0.6222 0.1334
9 Ni 0.6222 0.6222 0.6222
10 Ni 0.6222 0.1334 0.6222
11 Ni 0.1334 0.6222 0.6222
12 Ni 0.3778 0.3778 0.8666
13 Ni 0.3778 0.3778 0.3778
14 Ni 0.3778 0.8666 0.3778
15 Ni 0.8666 0.3778 0.3778
16 Ni 0.6491 0.0000 0.3509
17 Ni 0.0000 0.6491 0.3509
18 Ni 0.0000 0.0000 0.3509
19 Ni 0.0000 0.6491 0.0000
20 Ni 0.6491 0.0000 0.0000
21 Ni 0.0000 0.0000 0.6491
22 Ni 0.0000 0.3509 0.0000
23 Ni 0.0000 0.3509 0.6491
24 Ni 0.6491 0.3509 0.0000
25 Ni 0.3509 0.0000 0.6491
26 Ni 0.3509 0.0000 0.0000
27 Ni 0.3509 0.6491 0.0000
28 Mo 0.7500 0.7500 0.7500
29 Mo 0.2500 0.2500 0.2500

Calculated values
crystal system	cubic
space group	Fm-3m (225)

Going through the records in order, we get energy relative to the elements, uncorrected values of -1.3; 0.3; -0.3; -0.9; -0.7; -0.6; -0.6; -6.2 eV/f.u..
Going through the records in order, we get magnetization values of 0.000; 0.000; 0.000; 0.000; 0.000; 0.000; 0.000; 0.001 μB/f.u..
Going through the records in order, we get density of states at the Fermi level values of 0.94; 3.74; 2.29; 3.04; 1.46; 3.60; 2.57; 20.28 states/eV/cell.